Record 1
Compound: HfAl2Ga3
Source: the Alexandria database
Functional: PBE
Structure: relaxed

Values from the calculation:
Electronic total energy ... -4.5991 eV/atom
Space group ... Cmmm (65)
ΔE to the lowest computed polymorph ... 0.0 meV/atom

Cell lengths 3.9374, 4.1361, 6.6891 Å; angles 108.01, 90.00, 90.00 degrees
Fractional positions:
Hf1 0.0000 0.0000 0.0000
Al1 0.0000 0.6666 0.3332
Al2 0.0000 0.3334 0.6668
Ga1 0.5000 0.1714 0.3428
Ga2 0.5000 0.5000 0.0000
Ga3 0.5000 0.8286 0.6572


Record 2
Compound: HfAl3Ga
Source: the Alexandria database
Functional: PBE
Structure: relaxed

Values from the calculation:
Electronic total energy ... -3.8954 eV/atom
Space group ... Pm-3m (221)
ΔE to the lowest computed polymorph ... 1113.3 meV/atom

Cell lengths 5.2975, 5.2975, 5.2975 Å; angles 90.00, 90.00, 90.00 degrees
Fractional positions:
Hf1 0.0000 0.0000 0.0000
Al1 0.0000 0.5000 0.0000
Al2 0.0000 0.0000 0.5000
Al3 0.5000 0.0000 0.0000
Ga1 0.5000 0.5000 0.5000